No. 1
PbF | Alexandria | PBE | optimized geometry; space-group type = No. 70; E_tot = -4.250 eV/atom
1.0
8.186 0.000 0.000
0.000 10.960 0.000
0.000 0.000 8.238
F Pb
16 16
direct
0.750 0.872 0.750
0.500 0.878 0.500
0.000 0.378 0.500
0.250 0.628 0.250
0.750 0.372 0.250
0.000 0.622 0.500
0.000 0.878 0.000
0.250 0.872 0.250
0.250 0.128 0.750
0.250 0.372 0.750
0.750 0.128 0.250
0.500 0.622 0.000
0.500 0.378 0.000
0.000 0.122 0.000
0.750 0.628 0.750
0.500 0.122 0.500
0.525 0.750 0.250
0.975 0.250 0.750
0.525 0.250 0.750
0.025 0.750 0.750
0.475 0.250 0.250
0.225 0.500 0.000
0.775 0.000 0.500
0.475 0.750 0.750
0.225 0.000 0.500
0.725 0.500 0.500
0.275 0.500 0.500
0.025 0.250 0.250
0.275 0.000 0.000
0.775 0.500 0.000
0.975 0.750 0.250
0.725 0.000 0.000

No. 2
PbF4 | Alexandria | PBE | optimized geometry; energy relative to the lowest polymorph listed for this composition = 327 meV/atom; space-group type = No. 221
1.0
4.357 0.000 0.000
0.000 4.357 0.000
0.000 0.000 4.357
F Pb
4 1
direct
0.500 0.000 0.500
0.000 0.000 0.000
0.500 0.500 0.000
0.000 0.500 0.500
0.500 0.500 0.500

No. 3
PbF | Alexandria | PBE | optimized geometry; space-group type = No. 19; E_tot = -4.322 eV/atom
1.0
7.433 0.000 0.000
0.000 6.616 0.000
0.000 0.000 6.773
Pb F
8 8
direct
0.542 0.227 0.106
0.814 0.676 0.074
0.958 0.773 0.606
0.686 0.324 0.574
0.042 0.273 0.894
0.314 0.824 0.926
0.186 0.176 0.426
0.458 0.727 0.394
0.925 0.334 0.259
0.575 0.666 0.759
0.804 0.010 0.917
0.304 0.490 0.083
0.075 0.834 0.241
0.696 0.990 0.417
0.425 0.166 0.741
0.196 0.510 0.583

No. 4
PbF | Alexandria | PBE | optimized geometry; space-group type = No. 223; E_tot = -3.945 eV/atom
1.0
7.247 0.000 0.000
0.000 7.247 0.000
0.000 0.000 7.247
F Pb
6 6
direct
0.500 0.250 0.000
0.000 0.500 0.250
0.000 0.500 0.750
0.750 0.000 0.500
0.500 0.750 0.000
0.250 0.000 0.500
0.000 0.750 0.500
0.500 0.000 0.250
0.000 0.250 0.500
0.750 0.500 0.000
0.250 0.500 0.000
0.500 0.000 0.750

No. 5
PbF4 | Alexandria | PBE | optimized geometry; energy relative to the lowest polymorph listed for this composition = 0 meV/atom; space-group type = No. 139
1.0
5.254 0.048 0.000
1.584 5.010 0.000
-3.419 -2.529 3.086
F Pb
4 1
direct
0.000 0.500 0.500
0.500 0.000 0.500
0.765 0.765 0.000
0.235 0.235 0.000
0.000 0.000 0.000

No. 6
Pd3PbF9 | Alexandria | PBE | optimized geometry; space-group type = No. 20; E_tot = -4.230 eV/atom
1.0
-6.859 -3.938 -1.124
-0.913 -3.726 -7.007
3.184 -6.398 2.988
F Pd Pb
18 6 2
direct
0.238 0.777 0.029
0.791 0.797 0.272
0.020 0.980 0.750
0.596 0.580 0.322
0.580 0.596 0.678
0.777 0.238 0.971
0.209 0.203 0.772
0.039 0.544 0.029
0.762 0.223 0.529
0.456 0.961 0.471
0.223 0.762 0.471
0.203 0.209 0.228
0.404 0.420 0.822
0.420 0.404 0.178
0.797 0.791 0.728
0.544 0.039 0.971
0.980 0.020 0.250
0.961 0.456 0.529
0.295 0.295 0.000
0.218 0.989 0.360
0.705 0.705 0.500
0.989 0.218 0.640
0.011 0.782 0.140
0.782 0.011 0.860
0.562 0.562 0.000
0.438 0.438 0.500

What is the formula in the second record? PbF4